# 1
Below is Ti2CuAgC after structural relaxation, with properties calculated at the PBEsol level.

Results
- Formation enthalpy at 0 K: -3.61 kcal/mol of atoms

Lattice parameters (Å, degrees): 4.1614 4.1614 3.8645 90.00 90.00 90.00
Last column: nearest neighbours and their distance in Å.
Space group P4/mmm (No. 123)
Asymmetric unit:
Ti 0.0000 0.5000 0.0000 (multiplicity 2)  2 C 2.08
Cu 0.0000 0.0000 0.5000 (multiplicity 1)  2 C 1.93
Ag 0.5000 0.5000 0.5000 (multiplicity 1)  8 Ti 2.84, 4 Cu 2.94
C 0.0000 0.0000 0.0000 (multiplicity 1)  2 Cu 1.93, 4 Ti 2.08

---

# 2
Below is DyAgH2C2SO9 after structural relaxation, with properties calculated at the PBEsol level.

Results
- Final energy: -6.92 eV/atom

Lattice parameters (Å, degrees): 13.5119 6.8529 8.9823 90.00 116.10 90.00
Last column: nearest neighbours and their distance in Å.
Space group C2/m (No. 12)
Asymmetric unit:
Dy 0.2446 0.0000 0.2587 (multiplicity 4)  8 O 2.26-2.43
Ag 0.0813 0.0000 0.6634 (multiplicity 4)  2 O 2.21
H 0.0803 0.5000 0.8544 (multiplicity 4)  1 O 1.00
H 0.1939 0.5000 0.0213 (multiplicity 4)  1 O 0.98
C 0.0000 0.3901 0.5000 (multiplicity 4)  2 O 1.26
C 0.0174 0.0000 0.9298 (multiplicity 4)  2 O 1.26-1.27
S 0.1706 0.5000 0.2986 (multiplicity 4)  4 O 1.46-1.49
O 0.0536 0.5000 0.2597 (multiplicity 4)  1 S 1.46
O 0.0579 0.0000 0.2169 (multiplicity 4)  1 C 1.26
O 0.0895 0.3072 0.5940 (multiplicity 8)  1 C 1.26
O 0.1198 0.0000 0.9702 (multiplicity 4)  1 C 1.27
O 0.1624 0.5000 0.8998 (multiplicity 4)  2 H 0.98-1.00
O 0.1989 0.3264 0.2242 (multiplicity 8)  1 S 1.49
O 0.2401 0.5000 0.4804 (multiplicity 4)  1 S 1.48

---

# 3
Below is AgC2F after structural relaxation, with properties calculated at the PBEsol level.

Results
- Final energy: -3.86 eV/atom

Lattice parameters (Å, degrees): 4.2493 4.2493 11.3456 90.00 90.00 90.00
Last column: nearest neighbours and their distance in Å.
Space group I-42d (No. 122)
Asymmetric unit:
Ag 0.0000 0.0000 0.0000 (multiplicity 4)  4 C 2.06
C 0.2462 0.2500 0.1250 (multiplicity 8)  2 Ag 2.06, 2 F 2.07
F 0.0000 0.0000 0.5000 (multiplicity 4)  4 C 2.07

---

# 4
Below is AgC3F after structural relaxation, with properties calculated at the PBEsol level.

Results
- Final energy: -3.70 eV/atom

Lattice parameters (Å, degrees): 3.7483 3.7483 3.7483 90.00 90.00 90.00
Last column: nearest neighbours and their distance in Å.
Space group Pm-3m (No. 221)
Asymmetric unit:
Ag 0.0000 0.0000 0.0000 (multiplicity 1)  12 C 2.65
C 0.0000 0.5000 0.5000 (multiplicity 3)  2 F 1.87
F 0.5000 0.5000 0.5000 (multiplicity 1)  6 C 1.87